1.
First-principles (PBE) data for a relaxed structure of NbReSb, as listed in Alexandria.

```
NbReSb
1.0
-0.674 3.120 -0.249
-0.431 -1.513 2.791
11.765 2.808 3.340
Sb Nb Re
2 2 2
direct
0.278 0.555 0.174
0.278 0.555 0.826
0.611 0.222 0.000
0.279 0.558 0.500
0.611 0.222 0.337
0.611 0.222 0.663
```

Values from the calculation:
As for the total energy: -8.5497 eV/atom. The crystal system is orthorhombic. As for the space group: Amm2.

***

2.
First-principles (PBE) data for a relaxed structure of La2Er5Th2, as listed in Alexandria.

```
La2Er5Th2
1.0
3.417 0.000 -0.705
-0.481 7.804 -2.332
0.792 -2.848 12.478
Er Th La
5 2 2
direct
0.308 0.161 0.616
0.090 0.457 0.181
0.692 0.839 0.384
0.000 0.000 0.000
0.910 0.543 0.819
0.449 0.250 0.898
0.551 0.750 0.102
0.824 0.792 0.647
0.176 0.208 0.353
```

Values from the calculation:
The crystal system is monoclinic. Its formation energy from the elements is 0.234 eV per atom. As for the space group: C2/m.

***

3.
First-principles (PBE) data for a relaxed structure of EuPuCuAu, as listed in Alexandria.

```
EuPuCuAu
1.0
-0.159 -2.289 -4.613
4.246 -2.175 -1.945
0.341 -5.129 -0.344
Eu Au Cu Pu
1 1 1 1
direct
0.500 0.500 0.500
0.750 0.750 0.750
0.250 0.250 0.250
0.000 0.000 0.000
```

Values from the calculation:
The crystal system is cubic. Its formation energy from the elements is -0.219 eV per atom. As for the space group: F-43m.

***

4.
First-principles (PBE) data for a relaxed structure of YPPbS2, as listed in Alexandria.

```
YPPbS2
1.0
-1.975 -2.842 -3.887
4.445 -2.690 -0.292
-1.879 -3.484 3.502
Pb P Y S
1 1 1 2
direct
0.500 0.500 0.500
0.000 0.000 0.500
0.000 0.000 0.000
0.000 0.500 0.000
0.500 0.000 0.000
```

Values from the calculation:
Its offset from the most stable computed form is 0 meV/atom. The crystal system is tetragonal. As for the space group: P4/mmm.

***

5.
First-principles (PBE) data for a relaxed structure of PaZnMo2, as listed in Alexandria.

```
PaZnMo2
1.0
-1.885 -0.076 -2.652
1.203 -1.089 -2.820
-2.890 -8.854 0.310
Pa Zn Mo
1 1 2
direct
0.500 0.500 0.500
0.000 0.000 0.000
0.097 0.097 0.710
0.903 0.903 0.290
```

Values from the calculation:
Its offset from the most stable computed form is 690 meV/atom. The crystal system is trigonal. Its formation energy from the elements is 0.798 eV per atom. As for the space group: R-3m.

***

6.
First-principles (PBE) data for a relaxed structure of In3IrPt, as listed in Alexandria.

```
In3IrPt
1.0
-0.258 -3.234 -3.901
4.388 1.811 -1.792
2.535 -3.465 2.704
Ir In Pt
1 3 1
direct
0.000 0.000 0.000
0.000 0.500 0.000
0.000 0.000 0.500
0.500 0.000 0.000
0.500 0.500 0.500
```

Values from the calculation:
Its offset from the most stable computed form is 0 meV/atom. The crystal system is cubic. Its formation energy from the elements is 0.295 eV per atom. As for the space group: Pm-3m.

***

7.
First-principles (PBE) data for a relaxed structure of SmZrTc, as listed in Alexandria.

```
SmZrTc
1.0
3.386 0.000 0.000
0.000 3.386 0.000
-1.693 -1.693 6.149
Zr Tc Sm
1 1 1
direct
0.293 0.293 0.585
0.681 0.681 0.362
0.027 0.027 0.053
```

Values from the calculation:
Its offset from the most stable computed form is 0 meV/atom. The crystal system is tetragonal. Its formation energy from the elements is -0.061 eV per atom. As for the space group: I4mm.

***

8.
First-principles (PBE) data for a relaxed structure of CaReTc2, as listed in Alexandria.

```
CaReTc2
1.0
-2.627 -3.717 -0.295
2.225 -1.589 0.215
0.201 -0.565 5.331
Re Tc Ca
1 2 1
direct
0.500 0.769 0.769
0.500 0.235 0.245
0.000 0.000 0.992
0.000 0.496 0.493
```

Values from the calculation:
Its offset from the most stable computed form is 183 meV/atom. The crystal system is monoclinic. Its formation energy from the elements is 0.570 eV per atom. As for the space group: Pm.

***

9.
First-principles (PBE) data for a relaxed structure of PuGe4Sb, as listed in Alexandria.

```
PuGe4Sb
1.0
-3.536 3.472 -2.613
-4.383 2.134 2.761
-0.088 5.439 1.340
Sb Pu Ge
1 1 4
direct
0.250 0.250 0.250
0.000 0.000 0.000
0.624 0.624 0.127
0.127 0.624 0.624
0.624 0.127 0.624
0.624 0.624 0.624
```

Values from the calculation:
As for the total energy: -6.2139 eV/atom. The crystal system is cubic. As for the space group: F-43m.

***

10.
First-principles (PBE) data for a relaxed structure of HoInIr, as listed in Alexandria.

```
HoInIr
1.0
3.334 0.000 0.000
0.000 4.695 0.000
0.000 -2.348 4.066
Ho In Ir
1 1 1
direct
0.666 0.667 0.333
0.167 0.000 0.000
0.167 0.333 0.667
```

Values from the calculation:
The crystal system is hexagonal. Its formation energy from the elements is -0.482 eV per atom. As for the space group: P-6m2.

***

11.
First-principles (PBE) data for a relaxed structure of InAsW2, as listed in Alexandria.

```
InAsW2
1.0
4.648 0.000 0.000
2.324 4.025 0.000
2.324 1.342 3.795
W As In
2 1 1
direct
0.250 0.250 0.250
0.000 0.000 0.000
0.500 0.500 0.500
0.750 0.750 0.750
```

Values from the calculation:
Its offset from the most stable computed form is 436 meV/atom. The crystal system is cubic. Its formation energy from the elements is 0.660 eV per atom. As for the space group: F-43m.

***

12.
First-principles (PBE) data for a relaxed structure of K2LiTa, as listed in Alexandria.

```
K2LiTa
1.0
-4.769 -3.979 0.514
1.242 -1.736 -1.921
3.485 -3.592 4.533
Ta K Li
1 2 1
direct
0.500 0.750 0.750
0.000 0.079 0.995
0.000 0.421 0.505
0.500 0.250 0.250
```

Values from the calculation:
Its offset from the most stable computed form is 208 meV/atom. The crystal system is monoclinic. Its formation energy from the elements is 1.145 eV per atom. As for the space group: P2/m.

***

13.
First-principles (PBE) data for a relaxed structure of K3USb3Se8, as listed in Alexandria.

```
K3USb3Se8
1.0
-6.625 -2.571 4.527
7.421 1.319 3.767
-4.737 7.444 -2.704
Sb Se U K
3 8 1 3
direct
0.500 0.000 0.500
0.000 0.500 0.500
0.500 0.500 0.500
0.736 0.471 0.706
0.260 0.030 0.301
0.230 0.460 0.699
0.770 0.540 0.301
0.230 0.970 0.699
0.770 0.030 0.301
0.264 0.529 0.294
0.740 0.970 0.699
0.000 0.000 0.500
0.000 0.000 0.000
0.500 0.500 0.000
0.000 0.500 0.000
```

Values from the calculation:
As for the total energy: -4.4502 eV/atom. The crystal system is trigonal. As for the space group: R-3m.

***

14.
First-principles (PBE) data for a relaxed structure of Ta2CrPt, as listed in Alexandria.

```
Ta2CrPt
1.0
4.508 0.000 0.000
2.254 3.904 0.000
2.254 1.301 3.680
Pt Ta Cr
1 2 1
direct
0.750 0.750 0.750
0.250 0.250 0.250
0.000 0.000 0.000
0.500 0.500 0.500
```

Values from the calculation:
The crystal system is cubic. Its formation energy from the elements is -0.135 eV per atom. As for the space group: F-43m.

***

15.
First-principles (PBE) data for a relaxed structure of Li2Pr2TmPb2, as listed in Alexandria.

```
Li2Pr2TmPb2
1.0
-0.599 3.707 3.062
-3.464 -0.187 3.383
4.663 -2.762 8.091
Pb Pr Li Tm
2 2 2 1
direct
0.730 0.730 0.809
0.270 0.270 0.191
0.127 0.127 0.619
0.873 0.873 0.381
0.609 0.609 0.174
0.391 0.391 0.826
0.000 0.000 0.000
```

Values from the calculation:
The crystal system is trigonal. Its formation energy from the elements is -0.322 eV per atom. As for the space group: R-3m.

***

16.
First-principles (PBE) data for a relaxed structure of Mg2RhSe, as listed in Alexandria.

```
Mg2RhSe
1.0
4.612 0.000 0.000
2.306 3.994 0.000
2.306 1.331 3.765
Mg Se Rh
2 1 1
direct
0.000 0.000 0.000
0.250 0.250 0.250
0.750 0.750 0.750
0.500 0.500 0.500
```

Values from the calculation:
As for the total energy: -3.7573 eV/atom. The crystal system is cubic. As for the space group: F-43m.

***

17.
First-principles (PBE) data for a relaxed structure of Zn3Cd2Ag4, as listed in Alexandria.

```
Zn3Cd2Ag4
1.0
5.434 0.000 0.000
0.000 8.812 0.000
-2.717 0.000 6.949
Ag Zn Cd
8 6 4
direct
0.187 0.750 0.874
0.308 0.511 0.615
0.692 0.489 0.385
0.813 0.250 0.126
0.192 0.011 0.385
0.687 0.750 0.874
0.313 0.250 0.126
0.808 0.989 0.615
0.000 0.000 0.000
0.017 0.250 0.533
0.983 0.750 0.467
0.517 0.250 0.533
0.500 0.500 0.000
0.483 0.750 0.467
0.902 0.438 0.804
0.098 0.562 0.196
0.598 0.938 0.196
0.402 0.062 0.804
```

Values from the calculation:
Its offset from the most stable computed form is 29 meV/atom. The crystal system is orthorhombic. Its formation energy from the elements is 0.013 eV per atom. As for the space group: Cmce.

***

18.
First-principles (PBE) data for a relaxed structure of OsPtSe2, as listed in Alexandria.

```
OsPtSe2
1.0
-1.718 1.565 1.769
1.250 -2.468 0.936
7.972 5.222 3.121
Se Pt Os
2 1 1
direct
0.500 0.500 0.303
0.000 0.000 0.959
0.500 0.500 0.735
0.000 0.000 0.503
```

Values from the calculation:
Its offset from the most stable computed form is 348 meV/atom. The crystal system is orthorhombic. As for the space group: Cmm2.

***

19.
First-principles (PBE) data for a relaxed structure of SrAcSmDy, as listed in Alexandria.

```
SrAcSmDy
1.0
6.077 0.000 0.000
3.038 5.263 0.000
3.038 1.754 4.962
Sr Ac Sm Dy
1 1 1 1
direct
0.250 0.250 0.250
0.000 0.000 0.000
0.500 0.500 0.500
0.750 0.750 0.750
```

Values from the calculation:
The crystal system is cubic. Its formation energy from the elements is 0.202 eV per atom. As for the space group: F-43m.

***

20.
First-principles (PBE) data for a relaxed structure of Sc2InTcI, as listed in Alexandria.

```
Sc2InTcI
1.0
-0.326 4.154 3.147
-3.079 -2.428 2.886
4.032 -1.797 2.789
Tc Sc I In
1 2 1 1
direct
0.000 0.500 0.000
0.500 0.000 0.000
0.000 0.000 0.500
0.000 0.000 0.000
0.500 0.500 0.500
```

Values from the calculation:
Its offset from the most stable computed form is 0 meV/atom. The crystal system is tetragonal. As for the space group: P4/mmm.

***

21.
First-principles (PBE) data for a relaxed structure of La2PrI2N2, as listed in Alexandria.

```
La2PrI2N2
1.0
4.712 0.000 0.000
0.000 4.712 0.000
-2.356 -2.356 9.480
Pr N I La
1 2 2 2
direct
0.000 0.000 0.000
0.000 0.500 0.000
0.500 0.000 0.000
0.828 0.828 0.657
0.172 0.172 0.343
0.420 0.420 0.840
0.580 0.580 0.160
```

Values from the calculation:
As for the total energy: -6.0342 eV/atom. The crystal system is tetragonal. As for the space group: I4/mmm.

***

22.
First-principles (PBE) data for a relaxed structure of PmPPt3, as listed in Alexandria.

```
PmPPt3
1.0
4.625 0.000 0.000
0.000 4.625 0.000
0.000 0.000 4.625
Pm Pt P
1 3 1
direct
0.500 0.500 0.500
0.500 0.000 0.000
0.000 0.000 0.500
0.000 0.500 0.000
0.000 0.000 0.000
```

Values from the calculation:
Its offset from the most stable computed form is 304 meV/atom. The crystal system is cubic. Its formation energy from the elements is -0.703 eV per atom. As for the space group: Pm-3m.

***

23.
First-principles (PBE) data for a relaxed structure of CeP2O8, as listed in Alexandria.

```
CeP2O8
1.0
-5.148 -2.982 0.004
2.820 -4.866 1.554
-2.082 3.599 4.094
O P Ce
8 2 1
direct
0.300 0.189 0.811
0.300 0.622 0.811
0.045 0.667 0.333
0.700 0.811 0.622
0.700 0.378 0.189
0.955 0.333 0.667
0.700 0.811 0.189
0.300 0.189 0.378
0.786 0.667 0.333
0.214 0.333 0.667
0.500 0.000 0.000
```

Values from the calculation:
Its offset from the most stable computed form is 24 meV/atom. The crystal system is trigonal. As for the space group: P-3m1.

***

24.
First-principles (PBE) data for a relaxed structure of BaMg6SnO8, as listed in Alexandria.

```
BaMg6SnO8
1.0
4.770 0.000 0.000
0.000 4.770 0.000
0.000 0.000 9.188
O Mg Ba Sn
8 6 1 1
direct
0.500 0.000 0.000
0.000 0.500 0.000
0.500 0.500 0.285
0.000 0.000 0.279
0.500 0.500 0.715
0.000 0.500 0.500
0.500 0.000 0.500
0.000 0.000 0.721
0.000 0.500 0.280
0.000 0.500 0.720
0.500 0.000 0.280
0.500 0.000 0.720
0.500 0.500 0.500
0.000 0.000 0.500
0.500 0.500 0.000
0.000 0.000 0.000
```

Values from the calculation:
Its offset from the most stable computed form is 0 meV/atom. The crystal system is tetragonal. As for the space group: P4/mmm.

***

25.
First-principles (PBE) data for a relaxed structure of NaMoAs3, as listed in Alexandria.

```
NaMoAs3
1.0
-3.636 -3.057 -1.406
3.175 -3.802 0.056
-1.114 -0.860 4.750
Na As Mo
1 3 1
direct
0.500 0.500 0.500
0.500 0.000 0.000
0.000 0.000 0.500
0.000 0.500 0.000
0.000 0.000 0.000
```

Values from the calculation:
Its offset from the most stable computed form is 0 meV/atom. The crystal system is cubic. Its formation energy from the elements is 0.119 eV per atom. As for the space group: Pm-3m.

***

26.
First-principles (PBE) data for a relaxed structure of PmZn2SiIr, as listed in Alexandria.

```
PmZn2SiIr
1.0
3.933 0.000 0.000
0.000 4.210 0.000
-1.966 -2.105 5.409
Zn Ir Pm Si
2 1 1 1
direct
0.696 0.196 0.393
0.054 0.054 0.107
0.200 0.700 0.400
0.438 0.438 0.875
0.825 0.825 0.649
```

Values from the calculation:
As for the total energy: -4.8517 eV/atom. The crystal system is orthorhombic. As for the space group: Imm2.

***

27.
First-principles (PBE) data for a relaxed structure of LiMn2InW, as listed in Alexandria.

```
LiMn2InW
1.0
-3.410 -3.077 -0.382
0.528 -0.105 -3.861
3.037 -3.429 0.508
Mn In W Li
2 1 1 1
direct
0.500 0.000 0.000
0.000 0.000 0.500
0.000 0.000 0.000
0.500 0.500 0.500
0.000 0.500 0.000
```

Values from the calculation:
The crystal system is tetragonal. Its formation energy from the elements is 2.034 eV per atom. As for the space group: P4/mmm.